Here is Nd3Ga2Pb2 after structural relaxation from Alexandria via LeMat-Bulk. Energies are from PBE.

Unit cell a=6.265 b=6.265 c=8.225 alpha=112.33 beta=112.33 gamma=41.71
Sites, in units of the cell vectors:
Nd 0.000 0.000 0.000
Nd 0.176 0.176 0.643
Nd 0.824 0.824 0.357
Ga 0.289 0.289 0.079
Ga 0.711 0.711 0.921
Pb 0.459 0.459 0.677
Pb 0.541 0.541 0.323

Results
Total magnetization   0.00 μB per cell
Energy of formation from the pure elements   -578 meV/atom